The following is a DFT calculation (PBE with a Hubbard U) of an optimized crystal structure of MnTcPO2.

Lattice parameters (Å, degrees): 3.7592 3.7592 5.3125 90.00 90.00 90.00
Each line ends with the local moment (μB).
Fractional positions:
O: 0.5000 0.0000 0.0000  0.01
O: 0.0000 0.5000 0.0000  0.01
P: 0.0000 0.0000 0.5000  -0.13
Mn: 0.5000 0.5000 0.5000  4.51
Tc: 0.0000 0.0000 0.0000  -0.15

## Properties
Excess energy over the best structure of this formula in the dataset   0 meV per atom
Density   4.78 g/cm³